1.
Here is a geometry-optimized Pm3TlHg2 structure from the Alexandria database. Energies are from PBE.

a = 3.8052 Å, b = 3.8052 Å, c = 11.7191 Å
α = 90.00°, β = 90.00°, γ = 90.00°
Last column: magnetic moment on the atom in μB.
Element x y z (fractional)
Pm 0.0000 0.0000 0.0000  0.24
Pm 0.0000 0.0000 0.3254  0.20
Pm 0.0000 0.0000 0.6746  0.20
Hg 0.5000 0.5000 0.8379  0.03
Hg 0.5000 0.5000 0.1621  0.03
Tl 0.5000 0.5000 0.5000  0.01

Computed properties:
- symmetry = No. 123
- energy (eV for the cell shown) = -19.9
- E_form (eV per atom) = -0.441

***

2.
Here is a geometry-optimized Co2NiP structure from the Alexandria database. Energies are from PBE.

a = 4.1154 Å, b = 4.1154 Å, c = 4.1154 Å
α = 128.36°, β = 128.36°, γ = 76.04°
Last column: magnetic moment on the atom in μB.
Element x y z (fractional)
Ni 0.2500 0.7500 0.5000  0.39
Co 0.5000 0.5000 0.0000  0.50
Co 0.0000 0.0000 0.0000  0.50
P 0.7500 0.2500 0.5000  -0.02

Computed properties:
- symmetry = No. 139
- energy (eV for the cell shown) = -26.1
- E_form (eV per atom) = -0.178

***

3.
Here is a geometry-optimized Ac2LaScO6 structure from the Alexandria database. Energies are from PBE.

a = 6.0093 Å, b = 6.2092 Å, c = 8.6928 Å
α = 90.00°, β = 90.67°, γ = 90.00°
Element x y z (fractional)
La 0.0000 0.5000 0.5000
La 0.5000 0.0000 0.0000
O 0.3819 0.9470 0.7335
O 0.1181 0.4470 0.7665
O 0.1848 0.2140 0.0689
O 0.8152 0.7860 0.9311
O 0.6181 0.0530 0.2665
O 0.3152 0.7140 0.4311
O 0.7146 0.3128 0.9404
O 0.7854 0.8128 0.5596
O 0.2146 0.1872 0.4404
O 0.6848 0.2860 0.5689
O 0.2854 0.6872 0.0596
O 0.8819 0.5530 0.2335
Ac 0.5161 0.5487 0.7519
Ac 0.4839 0.4513 0.2481
Ac 0.0161 0.9513 0.2519
Ac 0.9839 0.0487 0.7481
Sc 0.0000 0.5000 0.0000
Sc 0.5000 0.0000 0.5000

Computed properties:
- symmetry = No. 14
- energy (eV for the cell shown) = -166.0
- E_form (uncorrected) (meV/atom) = -3377

***

4.
Here is a geometry-optimized Os2C structure from the Alexandria database. Energies are from PBE.

a = 11.5190 Å, b = 11.5190 Å, c = 11.5190 Å
α = 160.39°, β = 160.39°, γ = 27.87°
Element x y z (fractional)
Os 0.2278 0.2278 0.0000
Os 0.0222 0.5222 0.5000
Os 0.4046 0.4046 0.0000
Os 0.5954 0.5954 0.0000
Os 0.8454 0.3454 0.5000
Os 0.6546 0.1546 0.5000
Os 0.4778 0.9778 0.5000
Os 0.7722 0.7722 0.0000
C 0.2141 0.7141 0.5000
C 0.0359 0.0359 0.0000
C 0.9641 0.9641 0.0000
C 0.2859 0.7859 0.5000

Computed properties:
- symmetry = No. 141
- energy (eV for the cell shown) = -110.4
- E_form (eV per atom) = 1.359

***

5.
Here is a geometry-optimized PuS2O8F structure from the Alexandria database. Energies are from PBE.

a = 6.1272 Å, b = 6.1272 Å, c = 4.6746 Å
α = 89.98°, β = 89.98°, γ = 60.15°
Last column: magnetic moment on the atom in μB.
Element x y z (fractional)
S 0.3334 0.3334 0.7180  0.01
S 0.6666 0.6666 0.2820  0.01
O 0.7972 0.4047 0.1690  -0.11
O 0.7978 0.7978 0.1665  -0.11
O 0.3324 0.3324 0.4089  -0.12
O 0.4047 0.7972 0.1690  -0.11
O 0.2028 0.5953 0.8310  -0.11
O 0.6676 0.6676 0.5911  -0.12
O 0.5953 0.2028 0.8310  -0.11
O 0.2022 0.2022 0.8335  -0.11
Pu 0.0000 0.0000 0.0000  3.93
F 0.0000 0.0000 0.5000  -0.03

Computed properties:
- symmetry = No. 12
- energy (eV for the cell shown) = -84.3
- E_form (uncorrected) (meV/atom) = -1678

***

6.
Here is a geometry-optimized AcPm4Rh4 structure from the Alexandria database. Energies are from PBE.

a = 5.7470 Å, b = 9.1899 Å, c = 9.1899 Å
α = 90.00°, β = 90.00°, γ = 90.00°
Element x y z (fractional)
Pm 0.4268 0.3253 0.9032
Pm 0.5732 0.9032 0.6747
Pm 0.4268 0.6747 0.0968
Pm 0.5732 0.0968 0.3253
Pm 0.0732 0.8253 0.4032
Pm 0.9268 0.5968 0.8253
Pm 0.0732 0.1747 0.5968
Pm 0.9268 0.4032 0.1747
Rh 0.0784 0.8715 0.7098
Rh 0.9216 0.7098 0.1285
Rh 0.0784 0.1285 0.2902
Rh 0.9216 0.2902 0.8715
Rh 0.5784 0.7902 0.3715
Rh 0.4216 0.6285 0.7902
Rh 0.4216 0.3715 0.2098
Rh 0.5784 0.2098 0.6285
Ac 0.5000 0.5000 0.5000
Ac 0.0000 0.0000 0.0000

Computed properties:
- symmetry = No. 86
- energy (eV for the cell shown) = -115.7
- E_form (eV per atom) = -0.595

***

7.
Here is a geometry-optimized RbCu4Pb3Cl12 structure from the Alexandria database. Energies are from PBE.

a = 9.1012 Å, b = 9.1012 Å, c = 9.1012 Å
α = 105.04°, β = 105.04°, γ = 105.04°
Last column: magnetic moment on the atom in μB.
Element x y z (fractional)
Rb 0.0000 0.0000 0.0000  0.00
Cl 0.0114 0.6406 0.7788  0.02
Cl 0.5000 0.0943 0.9057  0.03
Cl 0.2212 0.3594 0.9886  0.02
Cl 0.3594 0.9886 0.2212  0.02
Cl 0.7788 0.0114 0.6406  0.02
Cl 0.6406 0.7788 0.0114  0.02
Cl 0.6534 0.5000 0.3466  0.02
Cl 0.5000 0.3466 0.6534  0.02
Cl 0.9886 0.2212 0.3594  0.02
Cl 0.9057 0.5000 0.0943  0.03
Cl 0.0943 0.9057 0.5000  0.03
Cl 0.3466 0.6534 0.5000  0.02
Pb 0.4469 0.0000 0.5531  0.01
Pb 0.0000 0.5531 0.4469  0.01
Pb 0.5531 0.4469 0.0000  0.01
Cu 0.0644 0.5000 0.9356  0.21
Cu 0.9356 0.0644 0.5000  0.21
Cu 0.5000 0.5000 0.5000  0.17
Cu 0.5000 0.9356 0.0644  0.21

Computed properties:
- symmetry = No. 155
- energy (eV for the cell shown) = -69.0
- E_form (uncorrected) (meV/atom) = -918

***

8.
Here is a geometry-optimized Pa3As2C structure from the Alexandria database. Energies are from PBE.

a = 6.6965 Å, b = 6.8399 Å, c = 6.8399 Å
α = 118.93°, β = 99.53°, γ = 99.53°
Element x y z (fractional)
Pa 0.0023 0.2169 0.3633
Pa 0.5023 0.3633 0.2169
Pa 0.9977 0.7831 0.6367
Pa 0.0000 0.5000 0.0000
Pa 0.5000 0.0000 0.5000
Pa 0.4977 0.6367 0.7831
As 0.7500 0.7633 0.2367
As 0.7500 0.0808 0.9192
As 0.2500 0.9192 0.0808
As 0.2500 0.2367 0.7633
C 0.2500 0.5822 0.4178
C 0.7500 0.4178 0.5822

Computed properties:
- symmetry = No. 15
- energy (eV for the cell shown) = -102.9
- E_form (eV per atom) = -0.743

***

Among the records above, which one has the highest energy? Pm3TlHg2

***

Which value of energy does entry 1 give? -19.9 eV for the cell shown

***

What is the energy in the sixth record? -115.7 eV for the cell shown